Computed, not measured: an optimized crystal structure of TiTc2AsAu at the PBE level of DFT.

```
TiTc2AsAu
1.0
4.9650 0.0000 0.0000
0.0000 4.9650 0.0000
0.0000 0.0000 4.8028
Ti Tc As Au
1 2 1 1
Direct
0.0000 0.0000 0.0000
0.0000 0.5000 0.5000
0.5000 0.0000 0.5000
0.5000 0.5000 0.0000
0.0000 0.0000 0.5000
```

Calculated values
- size of the total moment (μB per atom) = 0.8367
- formation energy (eV per atom) = 1.657
- theoretical density (Mg/m³) = 7.23



Computed, not measured: an optimized crystal structure of Ti2TcAsAu at the PBE level of DFT.

```
Ti2TcAsAu
1.0
4.8769 0.0000 0.0000
0.0000 4.8769 0.0000
0.0000 0.0000 4.6728
Ti Tc As Au
2 1 1 1
Direct
0.0000 0.5000 0.0000
0.5000 0.0000 0.0000
0.0000 0.0000 0.5000
0.5000 0.5000 0.5000
0.5000 0.5000 0.0000
```

Calculated values
- size of the total moment (μB per atom) = 0.0004
- formation energy (eV per atom) = 1.361
- theoretical density (Mg/m³) = 6.96



Computed, not measured: an optimized crystal structure of TeAs2Au at the PBE level of DFT.

```
TeAs2Au
1.0
6.0884 0.0000 0.0000
0.0000 6.0884 0.0000
0.0000 0.0000 12.7361
Te As Au
4 8 4
Direct
0.0000 0.0000 0.0000
0.0000 0.5000 0.2500
0.5000 0.0000 0.7500
0.5000 0.5000 0.5000
0.2109 0.2500 0.6250
0.2500 0.7109 0.8750
0.2500 0.7891 0.3750
0.2891 0.2500 0.1250
0.7109 0.7500 0.1250
0.7500 0.2109 0.3750
0.7500 0.2891 0.8750
0.7891 0.7500 0.6250
0.0000 0.0000 0.5000
0.0000 0.5000 0.7500
0.5000 0.0000 0.2500
0.5000 0.5000 0.0000
```

Calculated values
- size of the total moment (μB per atom) = 0.0000
- formation energy from raw total energies (eV/atom) = 0.245
- theoretical density (Mg/m³) = 6.67



Computed, not measured: an optimized crystal structure of Te2AsAu at the PBE level of DFT.

```
Te2AsAu
1.0
6.3267 0.0000 0.0000
0.0000 6.3267 0.0000
0.0000 0.0000 13.4667
Te As Au
8 4 4
Direct
0.2411 0.2500 0.1250
0.2500 0.7411 0.3750
0.2500 0.7589 0.8750
0.2589 0.2500 0.6250
0.7411 0.7500 0.6250
0.7500 0.2411 0.8750
0.7500 0.2589 0.3750
0.7589 0.7500 0.1250
0.0000 0.0000 0.5000
0.0000 0.5000 0.7500
0.5000 0.0000 0.2500
0.5000 0.5000 0.0000
0.0000 0.0000 0.0000
0.0000 0.5000 0.2500
0.5000 0.0000 0.7500
0.5000 0.5000 0.5000
```

Calculated values
- size of the total moment (μB per atom) = 0.0000
- formation energy from raw total energies (eV/atom) = 0.113
- theoretical density (Mg/m³) = 6.49



Computed, not measured: an optimized crystal structure of Te2AsAu at the PBE level of DFT.

```
Te2AsAu
1.0
4.1886 0.0000 0.0000
-2.0943 3.6275 0.0000
0.0000 0.0000 20.0539
Te As Au
6 3 3
Direct
0.0000 0.0000 0.0000
0.0000 0.0000 0.2274
0.3333 0.6667 0.6667
0.3333 0.6667 0.8940
0.6667 0.3333 0.3333
0.6667 0.3333 0.5607
0.0000 0.0000 0.7519
0.3333 0.6667 0.4186
0.6667 0.3333 0.0853
0.0000 0.0000 0.4864
0.3333 0.6667 0.1531
0.6667 0.3333 0.8197
```

Calculated values
- size of the total moment (μB per atom) = 0.0000
- formation energy from raw total energies (eV/atom) = 0.045
- theoretical density (Mg/m³) = 8.62



Computed, not measured: an optimized crystal structure of TeAsAu at the PBE level of DFT.

```
TeAsAu
1.0
3.9180 0.0000 0.0000
-1.9581 5.9305 0.0000
-0.0218 -1.6245 6.7889
Te As Au
2 2 2
Direct
0.1071 0.2102 0.3368
0.8929 0.7898 0.6632
0.3455 0.6930 0.9150
0.6545 0.3070 0.0850
0.1279 0.2593 0.7778
0.8721 0.7407 0.2222
```

Calculated values
- size of the total moment (μB per atom) = 0.0000
- formation energy from raw total energies (eV/atom) = 0.000
- theoretical density (Mg/m³) = 8.41



Computed, not measured: an optimized crystal structure of TeAs2Au at the PBE level of DFT.

```
TeAs2Au
1.0
3.6469 0.0000 0.0000
0.0000 3.8540 0.0000
0.0000 0.0000 6.3138
Te As Au
1 2 1
Direct
0.0000 0.0000 0.0000
0.5000 0.5000 0.3020
0.5000 0.5000 0.6980
0.0000 0.0000 0.5000
```

Calculated values
- size of the total moment (μB per atom) = 0.0000
- formation energy from raw total energies (eV/atom) = 0.338
- theoretical density (Mg/m³) = 8.88



Computed, not measured: an optimized crystal structure of Te2AsAu at the PBE level of DFT.

```
Te2AsAu
1.0
3.9852 0.0000 0.0000
0.0000 8.7282 0.0000
0.0000 0.0000 7.7782
Te As Au
4 2 2
Direct
0.0000 0.0000 0.2490
0.0000 0.0000 0.7510
0.5000 0.5000 0.2490
0.5000 0.5000 0.7510
0.0000 0.5000 0.5000
0.5000 0.0000 0.5000
0.0000 0.5000 0.0000
0.5000 0.0000 0.0000
```

Calculated values
- size of the total moment (μB per atom) = 0.0000
- formation energy from raw total energies (eV/atom) = 0.268
- theoretical density (Mg/m³) = 6.47



Computed, not measured: an optimized crystal structure of TeAsAu at the PBE level of DFT.

```
TeAsAu
1.0
4.1311 0.0000 0.0000
-1.4411 6.3698 0.0000
-0.4065 -1.6289 6.3282
Te As Au
2 2 2
Direct
0.1273 0.3319 0.2331
0.8727 0.6681 0.7669
0.0045 0.0697 0.7034
0.9955 0.9303 0.2966
0.4338 0.7876 0.0593
0.5662 0.2124 0.9407
```

Calculated values
- size of the total moment (μB per atom) = 0.0000
- formation energy from raw total energies (eV/atom) = -0.013
- theoretical density (Mg/m³) = 7.97



Computed, not measured: an optimized crystal structure of TeAs2Au at the PBE level of DFT.

```
TeAs2Au
1.0
5.2119 0.0000 0.0000
0.0000 5.2119 0.0000
0.0000 0.0000 3.1253
Te As Au
1 2 1
Direct
0.0000 0.0000 0.0000
0.0000 0.5000 0.5000
0.5000 0.0000 0.5000
0.5000 0.5000 0.0000
```

Calculated values
- size of the total moment (μB per atom) = 0.0000
- formation energy from raw total energies (eV/atom) = 0.458
- theoretical density (Mg/m³) = 9.28



Computed, not measured: an optimized crystal structure of TeAsAu at the PBE level of DFT.

```
TeAsAu
1.0
3.1005 0.0000 0.0000
0.0000 4.3681 0.0000
0.0000 0.0000 12.2246
Te As Au
2 2 2
Direct
0.0000 0.0000 0.0000
0.5000 0.5000 0.5000
0.0000 0.0000 0.7821
0.5000 0.5000 0.2821
0.0000 0.0000 0.2517
0.5000 0.5000 0.7517
```

Calculated values
- size of the total moment (μB per atom) = 0.0000
- formation energy from raw total energies (eV/atom) = 0.135
- theoretical density (Mg/m³) = 8.01



Computed, not measured: an optimized crystal structure of TeAs2Au at the PBE level of DFT.

```
TeAs2Au
1.0
5.6755 0.0000 0.0000
0.0000 5.6755 0.0000
0.0000 0.0000 5.5788
Te As Au
2 4 2
Direct
0.0000 0.0000 0.0000
0.5000 0.5000 0.5000
0.0000 0.5000 0.0000
0.0000 0.5000 0.5000
0.5000 0.0000 0.0000
0.5000 0.0000 0.5000
0.0000 0.0000 0.5000
0.5000 0.5000 0.0000
```

Calculated values
- size of the total moment (μB per atom) = 0.0000
- formation energy from raw total energies (eV/atom) = 0.092
- theoretical density (Mg/m³) = 8.77